Model A:
# Eu2GeH PBE relaxed
data_Eu2GeH
_chemical_formula_sum 'Eu2 Ge1 H1'
_cell_length_a 3.414
_cell_length_b 3.414
_cell_length_c 7.467
_cell_angle_alpha 90.00
_cell_angle_beta 90.00
_cell_angle_gamma 90.00
_space_group_name_H-M_alt 'P 1'
_space_group_IT_number 1
loop_
_space_group_symop_operation_xyz
'x,y,z'
loop_
_atom_site_label
_atom_site_type_symbol
_atom_site_fract_x
_atom_site_fract_y
_atom_site_fract_z
_atom_site_occupancy
Eu1 Eu 0.000 0.000 0.268 1
Eu2 Eu 0.000 0.000 0.732 1
H1 H 0.500 0.500 0.500 1
Ge1 Ge 0.500 0.500 0.000 1
# Symmetry: P4/mmm


Model B:
# Eu2GeH PBE relaxed
data_Eu2GeH
_chemical_formula_sum 'Eu2 Ge1 H1'
_cell_length_a 3.946
_cell_length_b 3.946
_cell_length_c 7.410
_cell_angle_alpha 74.56
_cell_angle_beta 74.56
_cell_angle_gamma 60.00
_space_group_name_H-M_alt 'P 1'
_space_group_IT_number 1
loop_
_space_group_symop_operation_xyz
'x,y,z'
loop_
_atom_site_label
_atom_site_type_symbol
_atom_site_fract_x
_atom_site_fract_y
_atom_site_fract_z
_atom_site_occupancy
Eu1 Eu 0.762 0.762 0.714 1
Eu2 Eu 0.238 0.238 0.286 1
H1 H 0.500 0.500 0.500 1
Ge1 Ge 0.000 0.000 0.000 1
# Symmetry: R-3m


Q: Which of them is the least stable? A: model A.


Model A:
# Eu2GeI PBE relaxed
data_Eu2GeI
_chemical_formula_sum 'Eu2 Ge1 I1'
_cell_length_a 4.418
_cell_length_b 4.418
_cell_length_c 8.422
_cell_angle_alpha 74.79
_cell_angle_beta 74.79
_cell_angle_gamma 60.00
_space_group_name_H-M_alt 'P 1'
_space_group_IT_number 1
loop_
_space_group_symop_operation_xyz
'x,y,z'
loop_
_atom_site_label
_atom_site_type_symbol
_atom_site_fract_x
_atom_site_fract_y
_atom_site_fract_z
_atom_site_occupancy
I1 I 0.500 0.500 0.500 1
Ge1 Ge 0.000 0.000 0.000 1
Eu1 Eu 0.737 0.737 0.789 1
Eu2 Eu 0.263 0.263 0.211 1
# Symmetry: R-3m


Model B:
# Eu2GeI PBE relaxed
data_Eu2GeI
_chemical_formula_sum 'Eu2 Ge1 I1'
_cell_length_a 3.788
_cell_length_b 3.788
_cell_length_c 8.476
_cell_angle_alpha 90.00
_cell_angle_beta 90.00
_cell_angle_gamma 90.00
_space_group_name_H-M_alt 'P 1'
_space_group_IT_number 1
loop_
_space_group_symop_operation_xyz
'x,y,z'
loop_
_atom_site_label
_atom_site_type_symbol
_atom_site_fract_x
_atom_site_fract_y
_atom_site_fract_z
_atom_site_occupancy
Eu1 Eu 0.000 0.000 0.785 1
Eu2 Eu 0.000 0.000 0.215 1
Ge1 Ge 0.500 0.500 0.000 1
I1 I 0.500 0.500 0.500 1
# Symmetry: P4/mmm


Q: Which of them is the least stable? A: model B.